Density functional theory data (GGA-PBE) for a geometry-optimized TlP2OsCl structure.

Output
DFT total energy	-25.3	eV/cell
crystal system	tetragonal
density	6.93	Mg/m³
total moment	0.00	μB/f.u.

```
data_TlP2OsCl
_cell_length_a 4.528
_cell_length_b 4.528
_cell_length_c 5.746
_cell_angle_alpha 90.00
_cell_angle_beta 90.00
_cell_angle_gamma 90.00
_symmetry_space_group_name_H-M 'P 4/m m m'
_symmetry_Int_Tables_number 123
_symmetry_space_group_name_Hall '-P 4 2'
loop_
_atom_site_label
_atom_site_type_symbol
_atom_site_fract_x
_atom_site_fract_y
_atom_site_fract_z
_atom_site_occupancy
Tl1 Tl 0.000 0.000 0.000 1
P1 P 0.000 0.500 0.500 1
Os1 Os 0.500 0.500 0.500 1
Cl1 Cl 0.500 0.500 0.000 1
```

Density functional theory data (GGA-PBE) for a geometry-optimized TlP2OsCl structure.

Output
DFT total energy	-16.2	eV/cell
crystal system	tetragonal
density	6.19	Mg/m³
total moment	2.76	μB/f.u.

```
data_TlP2OsCl
_cell_length_a 5.095
_cell_length_b 5.095
_cell_length_c 5.085
_cell_angle_alpha 90.00
_cell_angle_beta 90.00
_cell_angle_gamma 90.00
_symmetry_space_group_name_H-M 'P 4/m m m'
_symmetry_Int_Tables_number 123
_symmetry_space_group_name_Hall '-P 4 2'
loop_
_atom_site_label
_atom_site_type_symbol
_atom_site_fract_x
_atom_site_fract_y
_atom_site_fract_z
_atom_site_occupancy
Tl1 Tl 0.000 0.000 0.000 1
P1 P 0.000 0.500 0.000 1
Os1 Os 0.500 0.500 0.500 1
Cl1 Cl 0.000 0.000 0.500 1
```